# 1
# La3Pb

A relaxed structure of La3Pb (GGA-PBE, the Alexandria database).

Energy relative to the elements, eV per atom: -0.320
VASP energy, eV/cell: -79.09
Spin magnetization, μB per cell: 0.00

a = 8.1965 Å, b = 10.4779 Å, c = 6.6682 Å
α = 90.00°, β = 90.00°, γ = 90.00°
Positions (direct):
La 0.0266 0.2500 0.1303
La 0.1982 0.0405 0.6042
La 0.1982 0.4595 0.6042
La 0.3018 0.5405 0.1042
La 0.3018 0.9595 0.1042
La 0.4734 0.7500 0.6303
La 0.5266 0.2500 0.3697
La 0.6982 0.0405 0.8958
La 0.6982 0.4595 0.8958
La 0.8018 0.5405 0.3958
La 0.8018 0.9595 0.3958
La 0.9734 0.7500 0.8697
Pb 0.1082 0.7500 0.3914
Pb 0.3918 0.2500 0.8914
Pb 0.6082 0.7500 0.1086
Pb 0.8918 0.2500 0.6086


# 2
# LaPb2

A relaxed structure of LaPb2 (GGA-PBE, the Alexandria database).

Energy relative to the elements, eV per atom: -0.334
VASP energy, eV/cell: -13.35
Spin magnetization, μB per cell: 0.00

a = 4.6605 Å, b = 4.6605 Å, c = 4.9753 Å
α = 90.00°, β = 90.00°, γ = 90.00°
Positions (direct):
La 0.0000 0.0000 0.0000
Pb 0.0000 0.5000 0.5000
Pb 0.5000 0.0000 0.5000


# 3
# LaPb

A relaxed structure of LaPb (GGA-PBE, the Alexandria database).

Energy relative to the elements, eV per atom: -0.504
VASP energy, eV/cell: -28.93
Spin magnetization, μB per cell: 0.00

a = 6.5596 Å, b = 6.5596 Å, c = 9.7204 Å
α = 115.35°, β = 115.35°, γ = 32.99°
Positions (direct):
La 0.0000 0.0000 0.0000
La 0.6620 0.6620 0.7084
La 0.8345 0.8345 0.3468
Pb 0.1163 0.1163 0.3873
Pb 0.2776 0.2776 0.0339
Pb 0.3886 0.3886 0.6684


# 4
# LaPb

A relaxed structure of LaPb (GGA-PBE, the Alexandria database).

Energy relative to the elements, eV per atom: -0.544
VASP energy, eV/cell: -19.45
Spin magnetization, μB per cell: 0.00

a = 5.0406 Å, b = 5.0406 Å, c = 6.7409 Å
α = 90.00°, β = 90.00°, γ = 120.00°
Positions (direct):
La 0.3333 0.6667 0.2500
La 0.6667 0.3333 0.7500
Pb 0.0000 0.0000 0.0000
Pb 0.0000 0.0000 0.5000


# 5
# LaPb2

A relaxed structure of LaPb2 (GGA-PBE, the Alexandria database).

Energy relative to the elements, eV per atom: -0.296
VASP energy, eV/cell: -52.93
Spin magnetization, μB per cell: 0.79

a = 6.4267 Å, b = 6.4267 Å, c = 10.8848 Å
α = 90.00°, β = 90.00°, γ = 120.00°
Positions (direct):
La 0.3333 0.6667 0.0630
La 0.3333 0.6667 0.4370
La 0.6667 0.3333 0.5630
La 0.6667 0.3333 0.9370
Pb 0.0000 0.0000 0.0000
Pb 0.0000 0.0000 0.5000
Pb 0.1706 0.3412 0.7500
Pb 0.1706 0.8294 0.7500
Pb 0.3412 0.1706 0.2500
Pb 0.6588 0.8294 0.7500
Pb 0.8294 0.1706 0.2500
Pb 0.8294 0.6588 0.2500


# 6
# La3Pb

A relaxed structure of La3Pb (GGA-PBE, the Alexandria database).

Energy relative to the elements, eV per atom: -0.292
VASP energy, eV/cell: -19.66
Spin magnetization, μB per cell: 0.00

a = 3.6957 Å, b = 5.7786 Å, c = 6.2089 Å
α = 90.00°, β = 90.00°, γ = 90.00°
Positions (direct):
La 0.0000 0.0000 0.0000
La 0.0000 0.5000 0.3906
La 0.5000 0.0000 0.5466
Pb 0.5000 0.5000 0.8795


# 7
# La2Pb

A relaxed structure of La2Pb (GGA-PBE, the Alexandria database).

Energy relative to the elements, eV per atom: -0.049
VASP energy, eV/cell: -54.84
Spin magnetization, μB per cell: 0.00

a = 6.5543 Å, b = 6.5543 Å, c = 10.6902 Å
α = 90.00°, β = 90.00°, γ = 120.00°
Positions (direct):
La 0.0000 0.0000 0.0000
La 0.0000 0.0000 0.5000
La 0.1744 0.3488 0.2500
La 0.1744 0.8256 0.2500
La 0.3488 0.1744 0.7500
La 0.6512 0.8256 0.2500
La 0.8256 0.1744 0.7500
La 0.8256 0.6512 0.7500
Pb 0.3333 0.6667 0.5667
Pb 0.3333 0.6667 0.9333
Pb 0.6667 0.3333 0.0667
Pb 0.6667 0.3333 0.4333


# 8
# LaPb

A relaxed structure of LaPb (GGA-PBE, the Alexandria database).

Energy relative to the elements, eV per atom: 0.199
VASP energy, eV/cell: -8.24
Spin magnetization, μB per cell: 0.00

a = 5.1768 Å, b = 5.1768 Å, c = 5.1768 Å
α = 60.00°, β = 60.00°, γ = 60.00°
Positions (direct):
La 0.0000 0.0000 0.0000
Pb 0.7500 0.7500 0.7500


# 9
# LaPb

A relaxed structure of LaPb (GGA-PBE, the Alexandria database).

Energy relative to the elements, eV per atom: -0.043
VASP energy, eV/cell: -17.44
Spin magnetization, μB per cell: 0.02

a = 4.2462 Å, b = 4.2462 Å, c = 9.3854 Å
α = 90.00°, β = 90.00°, γ = 120.00°
Positions (direct):
La 0.3333 0.6667 0.1586
La 0.6667 0.3333 0.8414
Pb 0.3333 0.6667 0.5968
Pb 0.6667 0.3333 0.4032


# 10
# LaPb2

A relaxed structure of LaPb2 (GGA-PBE, the Alexandria database).

Energy relative to the elements, eV per atom: -0.136
VASP energy, eV/cell: -12.75
Spin magnetization, μB per cell: 0.00

a = 5.4059 Å, b = 5.4059 Å, c = 5.4059 Å
α = 60.00°, β = 60.00°, γ = 60.00°
Positions (direct):
La 0.0000 0.0000 0.0000
Pb 0.2500 0.2500 0.2500
Pb 0.7500 0.7500 0.7500


# 11
# La3Pb

A relaxed structure of La3Pb (GGA-PBE, the Alexandria database).

Energy relative to the elements, eV per atom: -0.390
VASP energy, eV/cell: -20.05
Spin magnetization, μB per cell: 0.00

a = 5.0747 Å, b = 5.0747 Å, c = 5.0747 Å
α = 90.00°, β = 90.00°, γ = 90.00°
Positions (direct):
La 0.0000 0.0000 0.5000
La 0.0000 0.5000 0.0000
La 0.5000 0.0000 0.0000
Pb 0.5000 0.5000 0.5000


# 12
# La2Pb

A relaxed structure of La2Pb (GGA-PBE, the Alexandria database).

Energy relative to the elements, eV per atom: -0.468
VASP energy, eV/cell: -29.93
Spin magnetization, μB per cell: 0.00

a = 8.8794 Å, b = 8.8794 Å, c = 4.5705 Å
α = 90.00°, β = 90.00°, γ = 146.77°
Positions (direct):
La 0.0000 0.0000 0.0000
La 0.1830 0.8170 0.5000
La 0.5000 0.5000 0.5000
La 0.8170 0.1830 0.5000
Pb 0.3521 0.6479 0.0000
Pb 0.6479 0.3521 0.0000


# 13
# La3Pb

A relaxed structure of La3Pb (GGA-PBE, the Alexandria database).

Energy relative to the elements, eV per atom: -0.243
VASP energy, eV/cell: -19.46
Spin magnetization, μB per cell: 0.00

a = 3.7121 Å, b = 3.7121 Å, c = 9.9675 Å
α = 90.00°, β = 90.00°, γ = 90.00°
Positions (direct):
La 0.0000 0.0000 0.0000
La 0.5000 0.5000 0.2668
La 0.5000 0.5000 0.7332
Pb 0.0000 0.0000 0.5000


# 14
# LaPb2

A relaxed structure of LaPb2 (GGA-PBE, the Alexandria database).

Energy relative to the elements, eV per atom: -0.326
VASP energy, eV/cell: -13.32
Spin magnetization, μB per cell: 0.00

a = 6.6646 Å, b = 6.4522 Å, c = 4.0531 Å
α = 74.88°, β = 69.17°, γ = 35.95°
Positions (direct):
La 0.0000 0.0000 0.0000
Pb 0.3239 0.3239 0.6761
Pb 0.6761 0.6761 0.3239


# 15
# LaPb

A relaxed structure of LaPb (GGA-PBE, the Alexandria database).

Energy relative to the elements, eV per atom: -0.517
VASP energy, eV/cell: -38.68
Spin magnetization, μB per cell: 0.00

a = 11.9865 Å, b = 9.2209 Å, c = 8.1110 Å
α = 87.26°, β = 50.21°, γ = 42.52°
Positions (direct):
La 0.0080 0.0080 0.7420
La 0.2580 0.2580 0.9920
La 0.7420 0.7420 0.0080
La 0.9920 0.9920 0.2580
Pb 0.2705 0.4795 0.2705
Pb 0.4795 0.2705 0.4795
Pb 0.5205 0.7295 0.5205
Pb 0.7295 0.5205 0.7295


# 16
# LaPb

A relaxed structure of LaPb (GGA-PBE, the Alexandria database).

Energy relative to the elements, eV per atom: -0.105
VASP energy, eV/cell: -17.69
Spin magnetization, μB per cell: 0.00

a = 5.7094 Å, b = 5.7094 Å, c = 6.4807 Å
α = 90.00°, β = 90.00°, γ = 120.00°
Positions (direct):
La 0.3333 0.6667 0.2500
La 0.6667 0.3333 0.7500
Pb 0.3333 0.6667 0.7500
Pb 0.6667 0.3333 0.2500


# 17
# La3Pb5

A relaxed structure of La3Pb5 (GGA-PBE, the Alexandria database).

Energy relative to the elements, eV per atom: -0.406
VASP energy, eV/cell: -73.14
Energy above the most stable polymorph in this dataset, eV per formula unit: 0.911
Spin magnetization, μB per cell: 0.00

a = 9.3433 Å, b = 9.3433 Å, c = 8.9914 Å
α = 93.47°, β = 93.47°, γ = 137.95°
Positions (direct):
La 0.0000 0.0000 0.0000
La 0.0313 0.5122 0.1725
La 0.1053 0.4333 0.6708
La 0.4333 0.1053 0.6708
La 0.5122 0.0313 0.1725
La 0.5419 0.5419 0.3419
Pb 0.0430 0.6951 0.8573
Pb 0.1402 0.9494 0.3301
Pb 0.4014 0.5929 0.0120
Pb 0.4988 0.8456 0.4867
Pb 0.5502 0.5502 0.7161
Pb 0.5929 0.4014 0.0120
Pb 0.6951 0.0430 0.8573
Pb 0.8456 0.4988 0.4867
Pb 0.9494 0.1402 0.3301
Pb 0.9892 0.9892 0.6261


# 18
# La4Pb

A relaxed structure of La4Pb (GGA-PBE, the Alexandria database).

Energy relative to the elements, eV per atom: 0.180
VASP energy, eV/cell: -22.52
Energy above the most stable polymorph in this dataset, eV per formula unit: 2.075
Spin magnetization, μB per cell: 1.19

a = 6.4871 Å, b = 6.4871 Å, c = 6.4871 Å
α = 109.47°, β = 109.47°, γ = 109.47°
Positions (direct):
La 0.0000 0.0000 0.5000
La 0.0000 0.5000 0.0000
La 0.5000 0.0000 0.0000
La 0.5000 0.5000 0.5000
Pb 0.0000 0.0000 0.0000


# 19
# LaPb2

A relaxed structure of LaPb2 (GGA-PBE, the Alexandria database).

Energy relative to the elements, eV per atom: -0.272
VASP energy, eV/cell: -26.32
Spin magnetization, μB per cell: 0.00

a = 7.7065 Å, b = 7.7065 Å, c = 6.9877 Å
α = 103.58°, β = 103.58°, γ = 28.58°
Positions (direct):
La 0.1489 0.1489 0.0887
La 0.8511 0.8511 0.9113
Pb 0.1737 0.1737 0.5982
Pb 0.4976 0.4976 0.2789
Pb 0.5024 0.5024 0.7211
Pb 0.8263 0.8263 0.4018


# 20
# LaPb2

A relaxed structure of LaPb2 (GGA-PBE, the Alexandria database).

Energy relative to the elements, eV per atom: -0.361
VASP energy, eV/cell: -13.43
Spin magnetization, μB per cell: 0.00

a = 5.3309 Å, b = 5.3309 Å, c = 3.9477 Å
α = 90.00°, β = 90.00°, γ = 120.00°
Positions (direct):
La 0.0000 0.0000 0.0000
Pb 0.3333 0.6667 0.6069
Pb 0.6667 0.3333 0.3931